# 1
The following is a GGA-PBE calculation of a geometry-optimized KPmAsAu structure, from Alexandria.

Unit cell a=5.2737 b=5.2737 c=5.2737 alpha=60.00 beta=60.00 gamma=60.00
Closest atoms and distances in Å follow each position.
Sites, in units of the cell vectors:
1 Au 0.5000 0.5000 0.5000  4 K 3.23, 4 Pm 3.23
2 K 0.2500 0.2500 0.2500  4 As 3.23, 4 Au 3.23
3 Pm 0.7500 0.7500 0.7500  4 As 3.23, 4 Au 3.23
4 As 0.0000 0.0000 0.0000  4 K 3.23, 4 Pm 3.23

## Properties
SG: F-43m
E_tot (eV per formula unit): -16.21
Spin magnetization (μB per formula unit): 0.00
Calculated formation energy (meV per atom): -609
Calculated volume (Å³/f.u.): 103.71

***

# 2
The following is a GGA-PBE calculation of a geometry-optimized GaPd3Au structure, from Alexandria.

Unit cell a=4.9954 b=4.9954 c=4.9954 alpha=90.00 beta=90.00 gamma=90.00
Closest atoms and distances in Å follow each position.
Sites, in units of the cell vectors:
1 Pd 0.0000 0.5000 0.0000  2 Au 2.50
2 Ga 0.5000 0.5000 0.5000  12 Pd 3.53
3 Pd 0.5000 0.0000 0.0000  2 Au 2.50
4 Au 0.0000 0.0000 0.0000  6 Pd 2.50
5 Pd 0.0000 0.0000 0.5000  2 Au 2.50

## Properties
SG: Pm-3m
E_tot (eV per formula unit): -17.55
Spin magnetization (μB per formula unit): 0.00
Calculated formation energy (meV per atom): 867
Distance to the lowest polymorph of the same formula (meV/atom): 1239
Calculated volume (Å³/f.u.): 124.65
Density of states at the Fermi level (states/eV/f.u.): 4.76

***

Which formula does entry 1 have?
KPmAsAu

***

Which value of E_tot does entry 2 give?
-17.55 eV per formula unit

***

What did the first record say?
The following is a GGA-PBE calculation of a geometry-optimized KPmAsAu structure, from Alexandria.

Unit cell a=5.2737 b=5.2737 c=5.2737 alpha=60.00 beta=60.00 gamma=60.00
Closest atoms and distances in Å follow each position.
Sites, in units of the cell vectors:
1 Au 0.5000 0.5000 0.5000  4 K 3.23, 4 Pm 3.23
2 K 0.2500 0.2500 0.2500  4 As 3.23, 4 Au 3.23
3 Pm 0.7500 0.7500 0.7500  4 As 3.23, 4 Au 3.23
4 As 0.0000 0.0000 0.0000  4 K 3.23, 4 Pm 3.23

## Properties
SG: F-43m
E_tot (eV per formula unit): -16.21
Spin magnetization (μB per formula unit): 0.00
Calculated formation energy (meV per atom): -609
Calculated volume (Å³/f.u.): 103.71

***

What is the calculated formation energy in the first record?
-609 meV per atom